Compound: NpMoPbO6
Source: the Alexandria database
Functional: GGA+U
Structure: optimized geometry

Calculated values
- E_tot (eV/atom) = -7.926
- size of the total moment (μB per atom) = 0.3333

Lattice parameters (Å, degrees): 5.114 5.114 10.251 90.00 90.00 90.00
Atoms (fractional coordinates):
O1 0.332 0.332 0.001
Mo1 0.000 0.000 0.662
O2 0.222 0.778 0.194
Mo2 0.500 0.500 0.162
O3 0.785 0.215 0.811
O4 0.778 0.222 0.194
O5 0.715 0.715 0.311
Np1 0.000 0.000 0.330
O6 0.722 0.722 0.694
O7 0.278 0.278 0.694
O8 0.832 0.168 0.501
Pb1 0.000 0.000 0.997
O9 0.168 0.832 0.501
O10 0.285 0.285 0.311
Np2 0.500 0.500 0.830
O11 0.215 0.785 0.811
O12 0.668 0.668 0.001
Pb2 0.500 0.500 0.497